Entry 1:
{"formula": "Be2CuSe", "functional": "PBE", "state": "optimized geometry", "volume_a3_per_atom": 12.883, "n_ef_per_ev_cell": 0.44, "magnetic_moment_mub_per_cell": 0.000, "e_tot_ev_per_atom": -3.406, "raw_formation_energy_ev_per_atom": 0.352, "lattice": [[2.848, 0.000, 0.000], [0.000, 2.848, 0.000], [0.000, 0.000, 6.352]], "species": ["Be", "Be", "Cu", "Se"], "fractional_positions": [[0.000, 0.000, 0.180], [0.000, 0.000, 0.820], [0.500, 0.500, 0.000], [0.500, 0.500, 0.500]]}

---

Entry 2:
{"formula": "RbScP2Cl", "functional": "PBE", "state": "optimized geometry", "volume_a3_per_atom": 27.754, "n_ef_per_ev_cell": 3.31, "magnetic_moment_mub_per_cell": 1.057, "e_tot_ev_per_atom": -4.605, "polymorph_energy_kj_per_mol_atoms": 0.0, "raw_formation_energy_ev_per_atom": -0.612, "lattice": [[5.052, 0.000, 0.000], [0.000, 5.052, 0.000], [0.000, 0.000, 5.437]], "species": ["Rb", "Sc", "P", "P", "Cl"], "fractional_positions": [[0.000, 0.000, 0.000], [0.500, 0.500, 0.500], [0.000, 0.500, 0.500], [0.500, 0.000, 0.500], [0.500, 0.500, 0.000]]}

---

Entry 3:
{"formula": "LiGaBH3O5", "functional": "PBE", "state": "optimized geometry", "volume_a3_per_atom": 11.431, "n_ef_per_ev_cell": 0.00, "magnetic_moment_mub_per_cell": 0.000, "e_tot_ev_per_atom": -5.973, "lattice": [[2.432, -4.208, 0.000], [2.432, 4.208, 0.000], [-0.153, 0.000, 12.285]], "species": ["Li", "Li", "Ga", "Ga", "B", "B", "H", "H", "H", "H", "H", "H", "O", "O", "O", "O", "O", "O", "O", "O", "O", "O"], "fractional_positions": [[0.002, 0.998, 0.500], [0.998, 0.002, 0.000], [0.334, 0.669, 0.118], [0.669, 0.334, 0.618], [0.335, 0.665, 0.566], [0.665, 0.335, 0.066], [0.133, 0.233, 0.311], [0.134, 0.904, 0.311], [0.233, 0.133, 0.811], [0.546, 0.772, 0.297], [0.772, 0.546, 0.797], [0.904, 0.134, 0.811], [0.012, 0.020, 0.839], [0.020, 0.012, 0.339], [0.049, 0.383, 0.566], [0.326, 0.660, 0.270], [0.339, 0.950, 0.568], [0.383, 0.049, 0.066], [0.616, 0.659, 0.563], [0.659, 0.616, 0.063], [0.660, 0.326, 0.770], [0.950, 0.339, 0.068]]}